(1)
A relaxed Pa3ZnSi3Tc2 crystal. Source: the Alexandria database, functional GGA-PBE.

Computed properties:
**E_tot**: -7.82 eV/atom
**DOS at the Fermi energy**: 10.8 states/eV/cell
**E_form (uncorrected)**: -0.402 eV per atom

abc: 7.156 7.156 3.811
angles: 90.00 90.00 120.00
Sites, in units of the cell vectors:
Pa 0.000 0.598 0.000
Pa 0.402 0.402 0.000
Pa 0.598 0.000 0.000
Zn 0.000 0.000 0.000
Si 0.000 0.265 0.500
Si 0.265 0.000 0.500
Si 0.735 0.735 0.500
Tc 0.333 0.667 0.500
Tc 0.667 0.333 0.500

(2)
A relaxed ScRu2Br crystal. Source: the Alexandria database, functional GGA-PBE.

Computed properties:
**E_tot**: -6.71 eV/atom
**DOS at the Fermi energy**: 7.8 states/eV/cell
**E_form (uncorrected)**: -0.075 eV per atom

abc: 4.636 4.700 7.511
angles: 90.00 90.00 90.00
Sites, in units of the cell vectors:
Sc 0.000 0.000 0.000
Sc 0.500 0.500 0.000
Ru 0.000 0.000 0.359
Ru 0.000 0.500 0.238
Ru 0.500 0.000 0.238
Ru 0.500 0.500 0.359
Br 0.000 0.500 0.776
Br 0.500 0.000 0.776

(3)
A relaxed Ti2Os2Au crystal. Source: the Alexandria database, functional GGA-PBE.

Computed properties:
**E_tot**: -8.49 eV/atom
**DOS at the Fermi energy**: 9.9 states/eV/cell

abc: 7.289 7.289 3.043
angles: 90.00 90.00 90.00
Sites, in units of the cell vectors:
Ti 0.159 0.341 0.000
Ti 0.341 0.841 0.000
Ti 0.659 0.159 0.000
Ti 0.841 0.659 0.000
Os 0.137 0.637 0.500
Os 0.363 0.137 0.500
Os 0.637 0.863 0.500
Os 0.863 0.363 0.500
Au 0.000 0.000 0.500
Au 0.500 0.500 0.500

(4)
A relaxed SeBr2 crystal. Source: the Alexandria database, functional GGA-PBE.

Computed properties:
**E_tot**: -1.78 eV/atom
**DOS at the Fermi energy**: 7.6 states/eV/cell
**E_form (uncorrected)**: 0.495 eV per atom

abc: 3.760 3.760 12.888
angles: 90.00 90.00 120.00
Sites, in units of the cell vectors:
Se 0.000 0.000 0.250
Se 0.000 0.000 0.750
Br 0.333 0.667 0.098
Br 0.333 0.667 0.402
Br 0.667 0.333 0.598
Br 0.667 0.333 0.902

(5)
A relaxed Hf3TiGa2N crystal. Source: the Alexandria database, functional GGA-PBE.

Computed properties:
**E_tot**: -8.20 eV/atom
**DOS at the Fermi energy**: 8.2 states/eV/cell
**E_form (uncorrected)**: -0.748 eV per atom

abc: 4.021 4.213 14.478
angles: 90.00 90.00 90.00
Sites, in units of the cell vectors:
Hf 0.000 0.000 0.000
Hf 0.000 0.500 0.163
Hf 0.000 0.500 0.837
Hf 0.500 0.000 0.337
Hf 0.500 0.000 0.663
Hf 0.500 0.500 0.500
Ti 0.000 0.000 0.500
Ti 0.500 0.500 0.000
Ga 0.000 0.500 0.359
Ga 0.000 0.500 0.641
Ga 0.500 0.000 0.141
Ga 0.500 0.000 0.859
N 0.000 0.500 0.000
N 0.500 0.000 0.500

(6)
A relaxed Ca2GaAs3Pd4 crystal. Source: the Alexandria database, functional GGA-PBE.

Computed properties:
**E_tot**: -4.92 eV/atom
**DOS at the Fermi energy**: 5.5 states/eV/cell

abc: 4.268 4.268 10.609
angles: 90.00 90.00 90.00
Sites, in units of the cell vectors:
Ca 0.000 0.500 0.242
Ca 0.500 0.000 0.758
Ga 0.000 0.000 0.500
As 0.000 0.500 0.866
As 0.500 0.000 0.134
As 0.500 0.500 0.500
Pd 0.000 0.000 0.000
Pd 0.000 0.500 0.634
Pd 0.500 0.000 0.366
Pd 0.500 0.500 0.000

(7)
A relaxed Zr2Cr3Si4 crystal. Source: the Alexandria database, functional GGA-PBE.

Computed properties:
**E_tot**: -8.11 eV/atom
**DOS at the Fermi energy**: 12.8 states/eV/cell
**E_form (uncorrected)**: -0.590 eV per atom

abc: 6.530 6.538 6.480
angles: 90.00 109.94 90.00
Sites, in units of the cell vectors:
Zr 0.190 0.169 0.060
Zr 0.190 0.331 0.560
Zr 0.810 0.669 0.440
Zr 0.810 0.831 0.940
Cr 0.248 0.659 0.251
Cr 0.248 0.841 0.751
Cr 0.500 0.000 0.500
Cr 0.500 0.500 0.000
Cr 0.752 0.159 0.249
Cr 0.752 0.341 0.749
Si 0.090 0.549 0.865
Si 0.090 0.951 0.365
Si 0.493 0.634 0.631
Si 0.493 0.866 0.131
Si 0.507 0.134 0.869
Si 0.507 0.366 0.369
Si 0.910 0.049 0.635
Si 0.910 0.451 0.135

(8)
A relaxed AgRuAu2 crystal. Source: the Alexandria database, functional GGA-PBE.

Computed properties:
**E_tot**: -4.28 eV/atom
**DOS at the Fermi energy**: 7.9 states/eV/cell

abc: 4.263 4.263 7.552
angles: 90.00 90.00 90.00
Sites, in units of the cell vectors:
Ag 0.000 0.000 0.000
Ag 0.500 0.500 0.500
Ru 0.000 0.000 0.500
Ru 0.500 0.500 0.000
Au 0.000 0.500 0.250
Au 0.000 0.500 0.750
Au 0.500 0.000 0.250
Au 0.500 0.000 0.750

(9)
A relaxed ZnFe2 crystal. Source: the Alexandria database, functional GGA-PBE.

Computed properties:
**E_tot**: -5.50 eV/atom
**DOS at the Fermi energy**: 9.0 states/eV/cell

abc: 3.336 3.336 14.445
angles: 90.00 90.00 90.00
Sites, in units of the cell vectors:
Zn 0.000 0.250 0.375
Zn 0.000 0.750 0.625
Zn 0.500 0.250 0.125
Zn 0.500 0.750 0.875
Fe 0.000 0.250 0.797
Fe 0.000 0.250 0.953
Fe 0.000 0.750 0.047
Fe 0.000 0.750 0.203
Fe 0.500 0.250 0.547
Fe 0.500 0.250 0.703
Fe 0.500 0.750 0.297
Fe 0.500 0.750 0.453

(10)
A relaxed Sc16O15 crystal. Source: the Alexandria database, functional GGA-PBE.

Computed properties:
**E_tot**: -8.48 eV/atom
**DOS at the Fermi energy**: 11.6 states/eV/cell
**E_form (uncorrected)**: -2.816 eV per atom

abc: 10.998 10.998 10.998
angles: 33.44 33.44 33.44
Sites, in units of the cell vectors:
Sc 0.124 0.124 0.124
Sc 0.125 0.625 0.625
Sc 0.126 0.126 0.620
Sc 0.126 0.620 0.126
Sc 0.375 0.375 0.375
Sc 0.375 0.375 0.875
Sc 0.375 0.875 0.375
Sc 0.380 0.874 0.874
Sc 0.620 0.126 0.126
Sc 0.625 0.125 0.625
Sc 0.625 0.625 0.125
Sc 0.625 0.625 0.625
Sc 0.874 0.380 0.874
Sc 0.874 0.874 0.380
Sc 0.875 0.375 0.375
Sc 0.876 0.876 0.876
O 0.000 0.000 0.500
O 0.000 0.500 0.000
O 0.000 0.500 0.500
O 0.249 0.249 0.249
O 0.252 0.252 0.748
O 0.252 0.748 0.252
O 0.252 0.748 0.748
O 0.500 0.000 0.000
O 0.500 0.000 0.500
O 0.500 0.500 0.000
O 0.500 0.500 0.500
O 0.748 0.252 0.252
O 0.748 0.252 0.748
O 0.748 0.748 0.252
O 0.751 0.751 0.751

(11)
A relaxed KBa2Ga crystal. Source: the Alexandria database, functional GGA-PBE.

Computed properties:
**E_tot**: -1.92 eV/atom
**DOS at the Fermi energy**: 23.6 states/eV/cell

abc: 10.477 10.477 7.972
angles: 90.00 90.00 90.00
Sites, in units of the cell vectors:
K 0.000 0.000 0.000
K 0.000 0.500 0.250
K 0.500 0.000 0.750
K 0.500 0.500 0.500
Ba 0.162 0.750 0.625
Ba 0.250 0.162 0.375
Ba 0.250 0.338 0.875
Ba 0.338 0.750 0.125
Ba 0.662 0.250 0.125
Ba 0.750 0.662 0.875
Ba 0.750 0.838 0.375
Ba 0.838 0.250 0.625
Ga 0.000 0.000 0.500
Ga 0.000 0.500 0.750
Ga 0.500 0.000 0.250
Ga 0.500 0.500 0.000

(12)
A relaxed Dy4ZnRh5 crystal. Source: the Alexandria database, functional GGA-PBE.

Computed properties:
**E_tot**: -6.41 eV/atom
**DOS at the Fermi energy**: 4.8 states/eV/cell

abc: 3.380 3.380 16.445
angles: 90.00 90.00 90.00
Sites, in units of the cell vectors:
Dy 0.000 0.000 0.105
Dy 0.000 0.000 0.316
Dy 0.000 0.000 0.684
Dy 0.000 0.000 0.895
Zn 0.000 0.000 0.500
Rh 0.500 0.500 0.000
Rh 0.500 0.500 0.209
Rh 0.500 0.500 0.416
Rh 0.500 0.500 0.584
Rh 0.500 0.500 0.791

(13)
A relaxed Sc2TlIrO8 crystal. Source: the Alexandria database, functional GGA-PBE.

Computed properties:
**E_tot**: -7.04 eV/atom
**DOS at the Fermi energy**: 5.3 states/eV/cell
**E_form (uncorrected)**: -1.744 eV per atom

abc: 4.778 4.778 6.707
angles: 90.00 90.00 91.69
Sites, in units of the cell vectors:
Sc 0.000 0.000 0.249
Sc 0.000 0.000 0.751
Tl 0.500 0.500 0.500
Ir 0.500 0.500 0.000
O 0.185 0.185 0.500
O 0.211 0.211 0.000
O 0.305 0.695 0.205
O 0.305 0.695 0.795
O 0.695 0.305 0.205
O 0.695 0.305 0.795
O 0.789 0.789 0.000
O 0.815 0.815 0.500

(14)
A relaxed ReRh2W crystal. Source: the Alexandria database, functional GGA-PBE.

Computed properties:
**E_tot**: -9.57 eV/atom
**DOS at the Fermi energy**: 32.8 states/eV/cell

abc: 6.235 6.235 6.235
angles: 90.00 90.00 90.00
Sites, in units of the cell vectors:
Re 0.000 0.000 0.000
Re 0.000 0.500 0.500
Re 0.500 0.000 0.500
Re 0.500 0.500 0.000
Rh 0.250 0.250 0.250
Rh 0.250 0.250 0.750
Rh 0.250 0.750 0.250
Rh 0.250 0.750 0.750
Rh 0.750 0.250 0.250
Rh 0.750 0.250 0.750
Rh 0.750 0.750 0.250
Rh 0.750 0.750 0.750
W 0.000 0.000 0.500
W 0.000 0.500 0.000
W 0.500 0.000 0.000
W 0.500 0.500 0.500

(15)
A relaxed Cs4SrBr5 crystal. Source: the Alexandria database, functional GGA-PBE.

Computed properties:
**E_tot**: -3.03 eV/atom
**DOS at the Fermi energy**: 1.5 states/eV/cell
**E_form (uncorrected)**: -1.681 eV per atom

abc: 8.863 8.863 8.863
angles: 101.33 101.33 127.37
Sites, in units of the cell vectors:
Cs 0.092 0.707 0.799
Cs 0.293 0.092 0.385
Cs 0.707 0.908 0.615
Cs 0.908 0.293 0.201
Sr 0.511 0.511 0.000
Br 0.128 0.128 0.000
Br 0.234 0.417 0.644
Br 0.417 0.773 0.182
Br 0.591 0.234 0.818
Br 0.773 0.591 0.356

(16)
A relaxed InRuBr2 crystal. Source: the Alexandria database, functional GGA-PBE.

Computed properties:
**E_tot**: -3.91 eV/atom
**DOS at the Fermi energy**: 5.2 states/eV/cell
**E_form (uncorrected)**: -0.066 eV per atom

abc: 5.210 12.938 3.841
angles: 90.00 90.00 90.00
Sites, in units of the cell vectors:
In 0.000 0.000 0.000
In 0.500 0.500 0.000
Ru 0.000 0.500 0.000
Ru 0.500 0.000 0.000
Br 0.000 0.370 0.500
Br 0.000 0.630 0.500
Br 0.500 0.130 0.500
Br 0.500 0.870 0.500

(17)
A relaxed Th6NiC2Se3 crystal. Source: the Alexandria database, functional GGA-PBE.

Computed properties:
**E_tot**: -7.61 eV/atom
**DOS at the Fermi energy**: 8.3 states/eV/cell
**E_form (uncorrected)**: -1.007 eV per atom

abc: 9.310 9.310 8.411
angles: 106.96 106.96 24.15
Sites, in units of the cell vectors:
Th 0.017 0.017 0.238
Th 0.323 0.323 0.443
Th 0.332 0.332 0.875
Th 0.668 0.668 0.125
Th 0.677 0.677 0.557
Th 0.983 0.983 0.762
Ni 0.500 0.500 0.000
C 0.171 0.171 0.335
C 0.829 0.829 0.665
Se 0.162 0.162 0.833
Se 0.500 0.500 0.500
Se 0.838 0.838 0.167

(18)
A relaxed SrRe2As crystal. Source: the Alexandria database, functional GGA-PBE.

Computed properties:
**E_tot**: -7.02 eV/atom
**DOS at the Fermi energy**: 4.5 states/eV/cell

abc: 3.166 3.166 7.818
angles: 90.00 90.00 90.00
Sites, in units of the cell vectors:
Sr 0.000 0.000 0.000
Re 0.500 0.500 0.330
Re 0.500 0.500 0.670
As 0.000 0.000 0.500

(19)
A relaxed KAsPtSe2 crystal. Source: the Alexandria database, functional GGA-PBE.

Computed properties:
**E_tot**: -3.85 eV/atom
**DOS at the Fermi energy**: 4.8 states/eV/cell
**E_form (uncorrected)**: -0.103 eV per atom

abc: 5.367 5.367 4.680
angles: 90.00 90.00 90.00
Sites, in units of the cell vectors:
K 0.000 0.000 0.000
As 0.500 0.500 0.000
Pt 0.500 0.500 0.500
Se 0.000 0.500 0.500
Se 0.500 0.000 0.500

(20)
A relaxed Cd2CoRu crystal. Source: the Alexandria database, functional GGA-PBE.

Computed properties:
**E_tot**: -4.26 eV/atom
**DOS at the Fermi energy**: 10.9 states/eV/cell

abc: 2.843 2.843 28.375
angles: 90.00 90.00 120.00
Sites, in units of the cell vectors:
Cd 0.000 0.000 0.000
Cd 0.000 0.000 0.232
Cd 0.333 0.667 0.667
Cd 0.333 0.667 0.899
Cd 0.667 0.333 0.333
Cd 0.667 0.333 0.566
Co 0.000 0.000 0.748
Co 0.333 0.667 0.414
Co 0.667 0.333 0.081
Ru 0.000 0.000 0.480
Ru 0.333 0.667 0.146
Ru 0.667 0.333 0.813